Below is a geometry-optimized CrHgMoO6 structure, with properties calculated at the GGA+U level.

**Symmetry**: P1 (1)
**Raw total energy**: -6.19 eV per atom

a b c (Å): 5.2592 5.2593 5.3307
angles (deg): 83.56 96.96 59.61
Closest atoms and distances in Å follow each position.
Element x y z (fractional)
Mo1 0.3236 0.3192 0.4924  6 O 1.85-2.04
O1 0.4325 0.9663 0.7156  1 Mo 1.86, 1 Cr 2.00
O2 0.3322 0.6675 0.3039  1 Mo 2.01, 1 Cr 2.03, 1 Hg 2.08
O3 0.5663 0.0372 0.2906  1 Cr 1.87, 1 Mo 1.94
O4 0.6651 0.3375 0.6981  1 Cr 1.99, 1 Mo 2.04, 1 Hg 2.08
O5 0.0371 0.5700 0.7082  1 Cr 1.82, 1 Mo 2.02
O6 0.9596 0.4283 0.2886  1 Mo 1.85, 1 Cr 2.00
Hg1 0.0022 0.9988 0.9967  2 O 2.08
Cr1 0.6812 0.6752 0.5058  6 O 1.82-2.03